A relaxed structure of K2MnAu, computed with PBE.

Calculated values
For the total magnetic moment, the calculation gives 4.3 μB per formula unit. The symmetry is F-43m. Its formation energy is 448 meV per atom. The total energy is -12.8 eV per formula unit. The calculation puts the density of states at the Fermi level at 3.50 states/eV/f.u. Its density is 4.82 g/cm3. Its excess energy over the best structure of this formula in the dataset is 0.277 eV/atom.

a b c (Å): 7.690 7.690 7.690
angles (deg): 90.00 90.00 90.00
Element x y z (fractional)
K 0.000 0.000 0.000
K 0.000 0.500 0.500
K 0.250 0.250 0.250
K 0.250 0.750 0.750
K 0.500 0.000 0.500
K 0.500 0.500 0.000
K 0.750 0.250 0.750
K 0.750 0.750 0.250
Mn 0.250 0.250 0.750
Mn 0.250 0.750 0.250
Mn 0.750 0.250 0.250
Mn 0.750 0.750 0.750
Au 0.000 0.000 0.500
Au 0.000 0.500 0.000
Au 0.500 0.000 0.000
Au 0.500 0.500 0.500



A relaxed structure of K2MnAu, computed with PBE.

Calculated values
For the total magnetic moment, the calculation gives 4.7 μB per formula unit. The symmetry is Pm. Its formation energy is 267 meV per atom. The total energy is -13.6 eV per formula unit. The calculation puts the density of states at the Fermi level at 3.52 states/eV/f.u. Its density is 3.71 g/cm3. Its excess energy over the best structure of this formula in the dataset is 0.096 eV/atom.

a b c (Å): 5.154 4.587 6.749
angles (deg): 90.00 112.37 90.00
Element x y z (fractional)
K 0.000 0.000 0.000
K 0.295 0.500 0.591
Mn 0.694 0.000 0.388
Au 0.592 0.500 0.186



A relaxed structure of KMn3Au, computed with PBE.

Calculated values
For the total magnetic moment, the calculation gives 13.4 μB per formula unit. The symmetry is Pm-3m. Its formation energy is 780 meV per atom. The total energy is -28.0 eV per formula unit. The calculation puts the density of states at the Fermi level at 6.17 states/eV/f.u. Its density is 4.89 g/cm3. Its excess energy over the best structure of this formula in the dataset is 0.000 eV/atom.

a b c (Å): 5.144 5.144 5.144
angles (deg): 90.00 90.00 90.00
Element x y z (fractional)
K 0.000 0.000 0.000
Mn 0.000 0.500 0.500
Mn 0.500 0.000 0.500
Mn 0.500 0.500 0.000
Au 0.500 0.500 0.500



A relaxed structure of KMnAu2, computed with PBE.

Calculated values
For the total magnetic moment, the calculation gives 4.2 μB per formula unit. The symmetry is Cm. Its formation energy is -5 meV per atom. The total energy is -16.8 eV per formula unit. The calculation puts the density of states at the Fermi level at 2.21 states/eV/f.u. Its density is 7.19 g/cm3.

a b c (Å): 7.972 4.595 6.682
angles (deg): 90.00 112.90 90.00
Element x y z (fractional)
K 0.000 0.000 0.000
K 0.500 0.500 0.000
Mn 0.314 0.500 0.454
Mn 0.814 0.000 0.454
Au 0.183 0.000 0.563
Au 0.468 0.000 0.413
Au 0.683 0.500 0.563
Au 0.968 0.500 0.413



A relaxed structure of KMnAu2, computed with PBE.

Calculated values
For the total magnetic moment, the calculation gives 4.4 μB per formula unit. The symmetry is P4/mmm. Its formation energy is -26 meV per atom. The total energy is -16.9 eV per formula unit. The calculation puts the density of states at the Fermi level at 2.65 states/eV/f.u. Its density is 9.15 g/cm3.

a b c (Å): 3.295 3.295 8.160
angles (deg): 90.00 90.00 90.00
Element x y z (fractional)
K 0.000 0.000 0.000
Mn 0.000 0.000 0.500
Au 0.500 0.500 0.316
Au 0.500 0.500 0.684



A relaxed structure of KMnAu2, computed with PBE.

Calculated values
For the total magnetic moment, the calculation gives 4.5 μB per formula unit. The symmetry is Imm2. Its formation energy is 176 meV per atom. The total energy is -16.1 eV per formula unit. The calculation puts the density of states at the Fermi level at 2.02 states/eV/f.u. Its density is 9.09 g/cm3.

a b c (Å): 3.048 5.282 11.076
angles (deg): 90.00 90.00 90.00
Element x y z (fractional)
K 0.000 0.000 0.000
K 0.500 0.500 0.500
Mn 0.000 0.500 0.791
Mn 0.500 0.000 0.291
Au 0.000 0.000 0.494
Au 0.000 0.500 0.222
Au 0.500 0.000 0.722
Au 0.500 0.500 0.994



A relaxed structure of K2MnAu, computed with PBE.

Calculated values
For the total magnetic moment, the calculation gives 4.5 μB per formula unit. The symmetry is R-3m. Its formation energy is 541 meV per atom. The total energy is -12.5 eV per formula unit. The calculation puts the density of states at the Fermi level at 3.15 states/eV/f.u. Its density is 3.63 g/cm3. Its excess energy over the best structure of this formula in the dataset is 0.371 eV/atom.

a b c (Å): 4.079 4.079 31.465
angles (deg): 90.00 90.00 120.00
Element x y z (fractional)
K 0.000 0.000 0.238
K 0.000 0.000 0.762
K 0.333 0.667 0.428
K 0.333 0.667 0.905
K 0.667 0.333 0.095
K 0.667 0.333 0.572
Mn 0.000 0.000 0.000
Mn 0.333 0.667 0.667
Mn 0.667 0.333 0.333
Au 0.000 0.000 0.500
Au 0.333 0.667 0.167
Au 0.667 0.333 0.833



A relaxed structure of KMnAu, computed with PBE.

Calculated values
For the total magnetic moment, the calculation gives 4.3 μB per formula unit. The symmetry is P-6m2. Its formation energy is 280 meV per atom. The total energy is -12.7 eV per formula unit. The calculation puts the density of states at the Fermi level at 1.90 states/eV/f.u. Its density is 5.32 g/cm3. Its excess energy over the best structure of this formula in the dataset is 0.060 eV/atom.

a b c (Å): 4.519 4.519 5.134
angles (deg): 90.00 90.00 120.00
Element x y z (fractional)
K 0.000 0.000 0.000
Mn 0.667 0.333 0.500
Au 0.333 0.667 0.500



A relaxed structure of K2MnAu, computed with PBE.

Calculated values
For the total magnetic moment, the calculation gives 4.5 μB per formula unit. The symmetry is P2/m. Its formation energy is 453 meV per atom. The total energy is -12.8 eV per formula unit. The calculation puts the density of states at the Fermi level at 3.08 states/eV/f.u. Its density is 4.28 g/cm3. Its excess energy over the best structure of this formula in the dataset is 0.282 eV/atom.

a b c (Å): 4.372 4.387 6.678
angles (deg): 90.00 90.09 90.00
Element x y z (fractional)
K 0.001 0.000 0.265
K 0.999 0.000 0.735
Mn 0.500 0.500 0.000
Au 0.500 0.500 0.500



A relaxed structure of KMnAu2, computed with PBE.

Calculated values
For the total magnetic moment, the calculation gives 4.3 μB per formula unit. The symmetry is Cmmm. Its formation energy is 163 meV per atom. The total energy is -16.2 eV per formula unit. The calculation puts the density of states at the Fermi level at 1.81 states/eV/f.u. Its density is 9.53 g/cm3.

a b c (Å): 7.569 7.585 2.961
angles (deg): 90.00 90.00 90.00
Element x y z (fractional)
K 0.000 0.000 0.000
K 0.500 0.500 0.000
Mn 0.000 0.500 0.000
Mn 0.500 0.000 0.000
Au 0.250 0.250 0.500
Au 0.250 0.750 0.500
Au 0.750 0.250 0.500
Au 0.750 0.750 0.500



A relaxed structure of KMn3Au, computed with PBE.

Calculated values
For the total magnetic moment, the calculation gives 11.6 μB per formula unit. The symmetry is Pm-3m. Its formation energy is 2089 meV per atom. The total energy is -21.4 eV per formula unit. The calculation puts the density of states at the Fermi level at 5.17 states/eV/f.u. Its density is 6.49 g/cm3. Its excess energy over the best structure of this formula in the dataset is 1.308 eV/atom.

a b c (Å): 4.681 4.681 4.681
angles (deg): 90.00 90.00 90.00
Element x y z (fractional)
K 0.000 0.000 0.000
Mn 0.000 0.000 0.500
Mn 0.000 0.500 0.000
Mn 0.500 0.000 0.000
Au 0.500 0.500 0.500



A relaxed structure of KMnAu2, computed with PBE.

Calculated values
For the total magnetic moment, the calculation gives 4.3 μB per formula unit. The symmetry is I4_1/amd. Its formation energy is 148 meV per atom. The total energy is -16.2 eV per formula unit. The calculation puts the density of states at the Fermi level at 2.93 states/eV/f.u. Its density is 6.26 g/cm3.

a b c (Å): 5.388 5.388 17.846
angles (deg): 90.00 90.00 90.00
Element x y z (fractional)
K 0.000 0.250 0.375
K 0.000 0.750 0.625
K 0.500 0.250 0.125
K 0.500 0.750 0.875
Mn 0.000 0.250 0.875
Mn 0.000 0.750 0.125
Mn 0.500 0.250 0.625
Mn 0.500 0.750 0.375
Au 0.000 0.000 0.000
Au 0.000 0.500 0.000
Au 0.250 0.250 0.750
Au 0.250 0.750 0.250
Au 0.500 0.000 0.500
Au 0.500 0.500 0.500
Au 0.750 0.250 0.750
Au 0.750 0.750 0.250